(1)
Compound: ZnIn2Bi2
Source: the Alexandria database
Functional: PBE
Structure: relaxed

crystal system: tetragonal

POSCAR file:
```
ZnIn2Bi2
1.0
-5.4837 1.6731 -4.9551
-5.1563 -2.9307 4.7167
-0.6133 4.7559 2.2845
Zn Bi In
2 4 4
direct
0.0000 0.0000 0.0000
0.5000 0.5000 0.0000
0.3514 0.8514 0.0000
0.8514 0.6486 0.0000
0.6486 0.1486 0.0000
0.1486 0.3514 0.0000
0.1646 0.6646 0.5000
0.6646 0.8354 0.5000
0.8354 0.3354 0.5000
0.3354 0.1646 0.5000
```


(2)
Compound: NaLaI3
Source: the Alexandria database
Functional: PBE
Structure: relaxed

crystal system: cubic
formation energy (no corrections): -0.765 eV per atom

POSCAR file:
```
NaLaI3
1.0
-5.0936 -1.6677 2.1253
0.4036 -4.9547 -2.9207
2.6712 -2.4315 4.4939
I Na La
3 1 1
direct
0.0000 0.5000 0.0000
0.0000 0.0000 0.5000
0.5000 0.0000 0.0000
0.0000 0.0000 0.0000
0.5000 0.5000 0.5000
```


(3)
Compound: Mg2TaPt3
Source: the Alexandria database
Functional: PBE
Structure: relaxed

crystal system: tetragonal

POSCAR file:
```
Mg2TaPt3
1.0
2.9301 0.0000 0.0000
0.0000 2.9301 0.0000
0.0000 0.0000 11.2443
Mg Ta Pt
2 1 3
direct
0.5000 0.5000 0.8400
0.5000 0.5000 0.1600
0.5000 0.5000 0.5000
0.0000 0.0000 0.0000
0.0000 0.0000 0.6698
0.0000 0.0000 0.3302
```


| no. | electronic total energy (eV/atom) |
| --- | --- |
| 1 | -2.7597 |
| 2 | -2.9442 |
| 3 | -6.3288 |